## Zn15B6Rh17 (PBE)

Data for crystalline Zn15B6Rh17 at its relaxed geometry.

abc: 2.8810 11.2132 15.0336
angles: 90.00 90.00 90.00
Closest atoms and distances in Å follow each position.
Atoms (fractional coordinates):
Zn (0.5000, 0.5000, 0.3516)  8 Rh 2.62-2.68, 1 B 2.70, 2 Zn 2.88
Zn (0.5000, 0.0000, 0.6506)  8 Rh 2.63-2.70, 1 B 2.72, 2 Zn 2.88
Zn (0.5000, 0.3842, 0.0018)  3 Zn 2.60-2.88, 8 Rh 2.64-2.79, 1 B 2.66
Zn (0.5000, 0.1162, 0.9925)  6 Rh 2.57-2.75, 5 Zn 2.61-2.88, 1 B 2.61
Zn (0.5000, 0.6158, 0.0018)  3 Zn 2.60-2.88, 8 Rh 2.64-2.79, 1 B 2.66
Zn (0.5000, 0.8838, 0.9925)  6 Rh 2.57-2.75, 5 Zn 2.61-2.88, 1 B 2.61
Zn (0.5000, 0.3746, 0.7701)  8 Rh 2.63-2.78, 4 Zn 2.66-2.88, 1 B 2.71
Zn (0.5000, 0.1319, 0.2373)  3 Zn 2.57-2.70, 1 B 2.68, 6 Rh 2.72-2.74
Zn (0.5000, 0.6254, 0.7701)  8 Rh 2.63-2.78, 4 Zn 2.66-2.88, 1 B 2.71
Zn (0.5000, 0.8681, 0.2373)  3 Zn 2.57-2.70, 1 B 2.68, 6 Rh 2.72-2.74
Zn (0.5000, 0.2976, 0.6030)  1 B 2.52, 8 Rh 2.61-2.75, 1 Zn 2.66
Zn (0.5000, 0.2048, 0.3990)  1 B 2.53, 1 Zn 2.57, 8 Rh 2.60-2.78
Zn (0.5000, 0.7024, 0.6030)  1 B 2.52, 8 Rh 2.61-2.75, 1 Zn 2.66
Zn (0.5000, 0.7952, 0.3990)  1 B 2.53, 1 Zn 2.57, 8 Rh 2.60-2.78
Zn (0.0000, 0.0000, 0.1211)  10 Zn 2.70-2.88, 2 Rh 2.72
B (0.5000, 0.5000, 0.5308)  6 Rh 2.18-2.21
B (0.5000, 0.0000, 0.4699)  6 Rh 2.18-2.23
B (0.5000, 0.1421, 0.8197)  6 Rh 2.14-2.24
B (0.5000, 0.3568, 0.1776)  6 Rh 2.14-2.25
B (0.5000, 0.8579, 0.8197)  6 Rh 2.14-2.24
B (0.5000, 0.6432, 0.1776)  6 Rh 2.14-2.25
Rh (0.0000, 0.2491, 0.8910)  2 B 2.16
Rh (0.0000, 0.2419, 0.1074)  2 B 2.20
Rh (0.0000, 0.7509, 0.8910)  2 B 2.16
Rh (0.0000, 0.7581, 0.1074)  2 B 2.20
Rh (0.0000, 0.5000, 0.6423)  2 B 2.21
Rh (0.0000, 0.0000, 0.3569)  2 B 2.23
Rh (0.0000, 0.1744, 0.7170)  2 B 2.14
Rh (0.0000, 0.3295, 0.2812)  2 B 2.14
Rh (0.0000, 0.8256, 0.7170)  2 B 2.14
Rh (0.0000, 0.6705, 0.2812)  2 B 2.14
Rh (0.0000, 0.5000, 0.1352)  4 B 2.25
Rh (0.0000, 0.0000, 0.8627)  4 B 2.24
Rh (0.0000, 0.1223, 0.5291)  2 B 2.18
Rh (0.0000, 0.3776, 0.4714)  2 B 2.18
Rh (0.0000, 0.8777, 0.5291)  2 B 2.18
Rh (0.0000, 0.6224, 0.4714)  2 B 2.18
Rh (0.0000, 0.5000, 0.8828)  8 Zn 2.63-2.64, 4 Rh 2.82-2.88

Output
electronic total energy	-200.5	eV per cell
size of the total moment	0.0	μB/cell
energy of formation from the pure elements	-0.43	eV per atom
calculated volume	485.66	Å³/cell



## Zn5BRh6 (PBE)

Data for crystalline Zn5BRh6 at its relaxed geometry.

abc: 4.1913 6.0707 7.2374
angles: 65.20 73.13 90.00
Closest atoms and distances in Å follow each position.
Atoms (fractional coordinates):
Zn (0.6848, 0.1843, 0.6314)  8 Rh 2.55-2.65, 2 Zn 2.82-2.83
Zn (0.3361, 0.3366, 0.3270)  8 Rh 2.65-2.68, 4 Zn 2.82-2.92
Zn (0.0000, 0.5000, 0.0000)  8 Rh 2.51-2.70
Zn (0.6639, 0.6634, 0.6730)  8 Rh 2.65-2.68, 4 Zn 2.82-2.92
Zn (0.3152, 0.8157, 0.3686)  8 Rh 2.55-2.65, 2 Zn 2.82-2.83
B (0.0000, 0.0000, 0.0000)  8 Rh 2.36-2.48
Rh (0.8468, 0.6171, 0.3057)  1 B 2.36, 4 Zn 2.51-2.61
Rh (0.8467, 0.0772, 0.3059)  1 B 2.36, 4 Zn 2.51-2.61
Rh (0.5000, 0.7804, 0.9999)  2 B 2.48, 6 Zn 2.65-2.70, 1 Rh 2.67
Rh (0.5000, 0.2196, 0.0001)  2 B 2.48, 6 Zn 2.65-2.70, 1 Rh 2.67
Rh (0.1533, 0.9228, 0.6941)  1 B 2.36, 4 Zn 2.51-2.61
Rh (0.1532, 0.3829, 0.6943)  1 B 2.36, 4 Zn 2.51-2.61

Output
electronic total energy	-60.9	eV per cell
size of the total moment	0.0	μB/cell
energy of formation from the pure elements	-0.31	eV per atom
calculated volume	158.39	Å³/cell



## ZnB2Rh (PBE)

Data for crystalline ZnB2Rh at its relaxed geometry.

abc: 4.9593 4.9593 5.7604
angles: 64.50 64.50 90.00
Closest atoms and distances in Å follow each position.
Atoms (fractional coordinates):
Zn (0.5000, 0.5000, 0.0000)  4 B 2.20
Zn (0.2500, 0.7500, 0.5000)  4 B 2.20
B (0.6599, 0.1250, 0.2500)  2 Rh 2.00, 2 Zn 2.20
B (0.0901, 0.6250, 0.2500)  2 Rh 2.00, 2 Zn 2.20
B (0.3750, 0.3401, 0.7500)  2 Rh 2.00, 2 Zn 2.20
B (0.8750, 0.9099, 0.7500)  2 Rh 2.00, 2 Zn 2.20
Rh (0.0000, 0.0000, 0.0000)  4 B 2.00
Rh (0.7500, 0.2500, 0.5000)  4 B 2.00

Output
electronic total energy	-39.0	eV per cell
size of the total moment	0.0	μB/cell
energy of formation from the pure elements	0.62	eV per atom
calculated volume	112.40	Å³/cell



## ZnBRh3 (PBE)

Data for crystalline ZnBRh3 at its relaxed geometry.

abc: 5.5220 5.5223 5.3080
angles: 99.48 99.48 119.22
Closest atoms and distances in Å follow each position.
Atoms (fractional coordinates):
Zn (0.7748, 0.2748, 0.5306)  1 Zn 2.64, 7 Rh 2.65-2.85
Zn (0.2252, 0.7252, 0.4694)  1 Zn 2.64, 7 Rh 2.65-2.85
B (0.6562, 0.8438, 0.0000)  6 Rh 2.09-2.17
B (0.3438, 0.1562, 0.0000)  6 Rh 2.09-2.17
Rh (0.2306, 0.7306, 0.9728)  2 B 2.09
Rh (0.7694, 0.2694, 0.0272)  2 B 2.09
Rh (0.0770, 0.0650, 0.2712)  2 B 2.12-2.17
Rh (0.4350, 0.4230, 0.7288)  2 B 2.12-2.17
Rh (0.9230, 0.9350, 0.7288)  2 B 2.12-2.17
Rh (0.5650, 0.5770, 0.2712)  2 B 2.12-2.17

Output
electronic total energy	-62.1	eV per cell
size of the total moment	0.0	μB/cell
energy of formation from the pure elements	-0.21	eV per atom
calculated volume	133.58	Å³/cell



## ZnB3Rh (PBE)

Data for crystalline ZnB3Rh at its relaxed geometry.

abc: 4.1081 4.1081 4.1081
angles: 90.00 90.00 90.00
Closest atoms and distances in Å follow each position.
Atoms (fractional coordinates):
Zn (0.5000, 0.5000, 0.5000)  12 B 2.90
B (0.0000, 0.5000, 0.0000)  2 Rh 2.05
B (0.0000, 0.0000, 0.5000)  2 Rh 2.05
B (0.5000, 0.0000, 0.0000)  2 Rh 2.05
Rh (0.0000, 0.0000, 0.0000)  6 B 2.05

Output
electronic total energy	-23.2	eV per cell
size of the total moment	0.0	μB/cell
energy of formation from the pure elements	1.08	eV per atom
calculated volume	69.33	Å³/cell



## ZnB2Rh2 (PBE)

Data for crystalline ZnB2Rh2 at its relaxed geometry.

abc: 6.1961 6.1961 2.7660
angles: 90.00 90.00 90.00
Closest atoms and distances in Å follow each position.
Atoms (fractional coordinates):
Zn (0.0000, 0.0000, 0.0000)  4 B 2.53, 8 Rh 2.66, 2 Zn 2.77
Zn (0.5000, 0.5000, 0.0000)  4 B 2.53, 8 Rh 2.66, 2 Zn 2.77
B (0.3954, 0.8954, 0.0000)  1 B 1.83
B (0.8954, 0.6046, 0.0000)  1 B 1.83
B (0.6046, 0.1046, 0.0000)  1 B 1.83
B (0.1046, 0.3954, 0.0000)  1 B 1.83
Rh (0.1813, 0.6813, 0.5000)  6 B 2.30-2.33
Rh (0.6813, 0.8187, 0.5000)  6 B 2.30-2.33
Rh (0.8187, 0.3187, 0.5000)  6 B 2.30-2.33
Rh (0.3187, 0.1813, 0.5000)  6 B 2.30-2.33

Output
electronic total energy	-60.5	eV per cell
size of the total moment	0.0	μB/cell
energy of formation from the pure elements	-0.18	eV per atom
calculated volume	106.19	Å³/cell



## Zr2ZnBRh6 (PBE)

Data for crystalline Zr2ZnBRh6 at its relaxed geometry.

abc: 6.0851 6.0888 6.0876
angles: 60.02 60.04 90.02
Closest atoms and distances in Å follow each position.
Atoms (fractional coordinates):
Zr (0.7502, 0.2502, 0.4996)  12 Rh 3.05
Zr (0.2498, 0.7498, 0.5004)  12 Rh 3.05
Zn (0.0000, 0.0000, 0.0000)  6 Rh 2.30
B (0.5000, 0.5000, 0.0000)  6 Rh 2.01
Rh (0.2669, 0.2669, 0.4663)  1 B 2.01
Rh (0.7334, 0.7328, 0.0000)  1 B 2.01
Rh (0.2669, 0.7331, 0.0000)  1 B 2.01
Rh (0.7331, 0.2669, 0.0000)  1 B 2.01
Rh (0.2666, 0.2672, 0.0000)  1 B 2.01
Rh (0.7331, 0.7331, 0.5337)  1 B 2.01

Output
electronic total energy	-72.5	eV per cell
size of the total moment	0.0	μB/cell
energy of formation from the pure elements	-0.34	eV per atom
calculated volume	159.61	Å³/cell



## ZrB2Rh2 (PBE)

Data for crystalline ZrB2Rh2 at its relaxed geometry.

abc: 3.8565 3.8565 5.1252
angles: 67.90 67.90 90.00
Closest atoms and distances in Å follow each position.
Atoms (fractional coordinates):
B (0.7500, 0.2500, 0.5000)  4 Rh 2.12
B (0.2500, 0.7500, 0.5000)  4 Rh 2.12
Rh (0.3515, 0.3515, 0.2970)  4 B 2.12
Rh (0.6485, 0.6485, 0.7030)  4 B 2.12
Zr (0.0000, 0.0000, 0.0000)  8 B 2.90, 10 Rh 3.02-3.05

Output
electronic total energy	-38.6	eV per cell
size of the total moment	0.0	μB/cell
energy of formation from the pure elements	-0.39	eV per atom
calculated volume	64.54	Å³/cell